DFT (PBE) results for an optimized crystal structure of Li2AgP2. Values from VASP.

Excess energy over the best structure of this formula in the dataset ... 0.000 eV per formula unit
E_tot ... -0.2865 Ry/atom
Calculated density ... 3.8 g/cm³
M_tot ... 0.0000 μB per atom

The structure in Quantum ESPRESSO input format:
```
&SYSTEM
  ibrav = 0, nat = 10, ntyp = 3
/
ATOMIC_SPECIES
Li 6.94 Li.upf
Ag 107.87 Ag.upf
P 30.97 P.upf
ATOMIC_POSITIONS crystal
Li 0.1719 0.3281 0.0000
Li 0.3281 0.8281 0.0000
Li 0.6719 0.1719 0.0000
Li 0.8281 0.6719 0.0000
Ag 0.0000 0.0000 0.5000
Ag 0.5000 0.5000 0.5000
P 0.1172 0.6172 0.5000
P 0.3828 0.1172 0.5000
P 0.6172 0.8828 0.5000
P 0.8828 0.3828 0.5000
CELL_PARAMETERS angstrom
6.4815 0.0000 0.0000
0.0000 6.4815 0.0000
0.0000 0.0000 3.8532
```